# 1
VASP calculation (PBE) on an optimized crystal structure of LiCd2AgAu.

extended XYZ file:
```
10
Lattice="6.957 -2.275 0.000 6.957 2.275 0.000 -3.107 0.000 6.283" Properties=species:S:1:pos:R:3 pbc="T T T"
Li -0.163 0.000 2.690
Li 10.970 0.000 3.593
Cd -0.499 0.000 5.714
Cd 2.574 0.000 5.221
Cd 8.233 0.000 1.062
Cd 11.305 0.000 0.568
Ag 2.683 0.000 2.375
Ag 8.124 0.000 3.908
Au 5.515 0.000 1.780
Au 5.291 0.000 4.502
```

Final energy (eV for the cell shown): -21.83
Energy relative to the elements (meV per atom): -209
Magnetic moment (μB/f.u.): 0.0
Space-group type: No. 12

***

# 2
VASP calculation (PBE) on an optimized crystal structure of Li3Cd4Ag2Au2.

extended XYZ file:
```
11
Lattice="4.552 0.000 0.000 -2.276 3.942 0.000 0.000 0.000 11.645" Properties=species:S:1:pos:R:3 pbc="T T T"
Li 0.000 0.000 0.000
Li 0.000 0.000 4.421
Li 0.000 0.000 7.223
Cd 0.000 2.628 3.609
Cd 0.000 2.628 9.524
Cd 2.276 1.314 2.121
Cd 2.276 1.314 8.035
Ag 0.000 2.628 6.499
Ag 2.276 1.314 5.145
Au 0.000 2.628 0.766
Au 2.276 1.314 10.878
```

Final energy (eV for the cell shown): -24.28
Energy relative to the elements (meV per atom): -239
Magnetic moment (μB/f.u.): 0.0
Space-group type: No. 164

***

# 3
VASP calculation (PBE) on an optimized crystal structure of Li2CdAg2Au.

extended XYZ file:
```
12
Lattice="4.065 0.000 0.000 0.000 8.731 0.000 0.000 0.000 5.871" Properties=species:S:1:pos:R:3 pbc="T T T"
Li 0.000 1.371 0.000
Li 0.000 7.360 2.935
Li 2.032 2.962 1.590
Li 2.032 5.769 4.526
Cd 2.032 2.880 4.504
Cd 2.032 5.851 1.569
Ag 0.000 1.455 2.879
Ag 0.000 7.276 5.815
Ag 2.032 0.022 1.428
Ag 2.032 8.709 4.364
Au 0.000 4.302 0.117
Au 0.000 4.429 3.052
```

Final energy (eV for the cell shown): -30.63
Energy relative to the elements (meV per atom): -265
Magnetic moment (μB/f.u.): 0.0
Space-group type: No. 26

***

# 4
VASP calculation (PBE) on an optimized crystal structure of Li2Cd2AgAu5.

extended XYZ file:
```
20
Lattice="9.308 0.000 0.000 0.000 9.308 0.000 0.000 0.000 4.136" Properties=species:S:1:pos:R:3 pbc="T T T"
Li 1.150 3.504 0.000
Li 3.504 8.158 0.000
Li 5.804 1.150 0.000
Li 8.158 5.804 0.000
Cd 1.604 6.258 0.000
Cd 3.050 1.604 0.000
Cd 6.258 7.704 0.000
Cd 7.704 3.050 0.000
Ag 0.000 0.000 0.000
Ag 4.654 4.654 0.000
Au 0.000 4.654 2.068
Au 0.766 1.874 2.068
Au 1.874 8.542 2.068
Au 2.780 3.888 2.068
Au 3.888 6.528 2.068
Au 4.654 0.000 2.068
Au 5.420 2.780 2.068
Au 6.528 5.420 2.068
Au 7.434 0.766 2.068
Au 8.542 7.434 2.068
```

Final energy (eV for the cell shown): -54.60
Energy relative to the elements (meV per atom): -241
Magnetic moment (μB/f.u.): 0.0
Space-group type: No. 127

***

# 5
VASP calculation (PBE) on an optimized crystal structure of LiCd3AgAu.

extended XYZ file:
```
12
Lattice="1.655 -7.360 0.000 1.655 7.360 0.000 0.000 0.000 9.515" Properties=species:S:1:pos:R:3 pbc="T T T"
Li 1.655 6.724 7.136
Li 1.655 -6.724 2.379
Cd 1.655 4.972 4.865
Cd 1.655 4.972 9.407
Cd 1.655 1.779 7.136
Cd 1.655 -1.779 2.379
Cd 1.655 -4.972 0.108
Cd 1.655 -4.972 4.650
Ag 1.655 0.000 0.000
Ag 1.655 0.000 4.757
Au 1.655 3.071 2.379
Au 1.655 -3.071 7.136
```

Final energy (eV for the cell shown): -23.74
Energy relative to the elements (meV per atom): -181
Magnetic moment (μB/f.u.): 0.0
Space-group type: No. 63

***

# 6
VASP calculation (PBE) on an optimized crystal structure of LuCdAgAu.

extended XYZ file:
```
4
Lattice="0.000 3.447 3.447 3.447 0.000 3.447 3.447 3.447 0.000" Properties=species:S:1:pos:R:3 pbc="T T T"
Lu 0.000 0.000 0.000
Cd 3.447 3.447 3.447
Ag 5.170 5.170 5.170
Au 1.723 1.723 1.723
```

Final energy (eV for the cell shown): -13.44
Energy relative to the elements (meV per atom): -468
Magnetic moment (μB/f.u.): 0.0
Space-group type: No. 216